1.
The following is a DFT calculation (PBE-GGA) of a relaxed Er12CoPd6 crystal.

Calculated values
Uncorrected energy: -5.420 eV/atom
E_form: -0.52 eV per atom
DOS at the Fermi energy: 15.92 states/eV/f.u.

Geometry as POSCAR:
```
Er12CoPd6
1.0
6.148 3.550 3.872
-6.148 3.550 3.872
0.000 -7.100 3.872
Er Co Pd
12 1 6
Cartesian
-5.468 -1.467 6.361 Er
-1.463 -5.469 5.253 Er
-2.416 -0.284 4.542 Er
-4.004 4.002 5.253 Er
1.454 -1.950 4.542 Er
-0.962 -2.235 7.073 Er
0.962 2.235 4.542 Er
-1.454 1.950 7.073 Er
4.004 -4.002 6.361 Er
2.416 0.284 7.073 Er
1.463 5.469 6.361 Er
5.468 1.467 5.253 Er
0.000 0.000 0.000 Co
-1.110 -2.863 4.128 Pd
-1.925 2.393 4.128 Pd
-3.034 -0.470 7.487 Pd
3.034 0.470 4.128 Pd
1.925 -2.393 7.487 Pd
1.110 2.863 7.487 Pd
```

2.
The following is a DFT calculation (PBE-GGA) of a relaxed Y2HPb crystal.

Calculated values
Uncorrected energy: -5.576 eV/atom
Distance to the lowest polymorph of the same formula: 0.000 eV/atom
DOS at the Fermi energy: 2.46 states/eV/f.u.

Geometry as POSCAR:
```
Y2HPb
1.0
4.556 0.000 0.000
0.000 4.556 0.000
0.000 0.000 8.586
Y H Pb
4 2 2
Cartesian
1.139 1.139 1.316 Y
1.139 3.417 4.293 Y
3.417 1.139 4.293 Y
3.417 3.417 7.270 Y
1.139 1.139 3.605 H
3.417 3.417 4.981 H
1.139 1.139 6.735 Pb
3.417 3.417 1.850 Pb
```

3.
The following is a DFT calculation (PBE-GGA) of a relaxed BaReRh crystal.

Calculated values
Uncorrected energy: -6.719 eV/atom
E_form: 0.52 eV per atom
Distance to the lowest polymorph of the same formula: 0.399 eV/atom
DOS at the Fermi energy: 3.32 states/eV/f.u.

Geometry as POSCAR:
```
BaReRh
1.0
7.964 0.000 0.000
0.000 4.399 0.000
0.000 0.000 8.667
Ba Re Rh
4 4 4
Cartesian
0.044 1.100 1.567 Ba
3.938 3.300 5.900 Ba
4.026 1.100 2.767 Ba
7.920 3.300 7.101 Ba
1.168 3.300 3.778 Re
2.814 1.100 8.111 Re
5.150 3.300 0.556 Re
6.796 1.100 4.890 Re
1.270 1.100 4.914 Rh
2.712 3.300 0.580 Rh
5.252 1.100 8.088 Rh
6.694 3.300 3.754 Rh
```

4.
The following is a DFT calculation (PBE-GGA) of a relaxed HoInPt6 crystal.

Calculated values
Uncorrected energy: -6.160 eV/atom
E_form: -0.72 eV per atom
DOS at the Fermi energy: 7.77 states/eV/f.u.

Geometry as POSCAR:
```
HoInPt6
1.0
4.089 0.000 0.000
0.000 4.089 0.000
0.000 0.000 8.134
Ho In Pt
1 1 6
Cartesian
0.000 0.000 0.000 Ho
0.000 0.000 4.067 In
0.000 2.044 2.069 Pt
0.000 2.044 6.066 Pt
2.044 0.000 2.069 Pt
2.044 0.000 6.066 Pt
2.044 2.044 0.000 Pt
2.044 2.044 4.067 Pt
```

5.
The following is a DFT calculation (PBE-GGA) of a relaxed TmAl12Cu4 crystal.

Calculated values
Uncorrected energy: -3.796 eV/atom
E_form: 0.07 eV per atom
DOS at the Fermi energy: 3.92 states/eV/f.u.

Geometry as POSCAR:
```
TmAl12Cu4
1.0
-4.280 4.280 4.280
4.280 -4.280 4.280
4.280 4.280 -4.280
Tm Al Cu
1 12 4
Cartesian
0.000 0.000 0.000 Tm
2.914 0.000 1.402 Al
5.646 0.000 1.402 Al
4.280 2.878 -1.366 Al
1.402 2.914 0.000 Al
2.878 -1.366 4.280 Al
4.280 2.878 1.366 Al
0.000 1.402 2.914 Al
1.402 5.646 0.000 Al
2.878 1.366 4.280 Al
0.000 1.402 5.646 Al
-1.366 4.280 2.878 Al
1.366 4.280 2.878 Al
2.140 2.140 -2.140 Cu
2.140 -2.140 2.140 Cu
-2.140 2.140 2.140 Cu
2.140 2.140 2.140 Cu
```

6.
The following is a DFT calculation (PBE-GGA) of a relaxed Li2CrSnN crystal.

Calculated values
Uncorrected energy: -5.512 eV/atom
DOS at the Fermi energy: 0.82 states/eV/f.u.
Uncorrected formation energy: -356 meV per atom

Geometry as POSCAR:
```
Li2CrSnN
1.0
4.298 0.000 0.000
0.000 4.298 0.000
0.000 0.000 3.721
Li Cr Sn N
2 1 1 1
Cartesian
0.000 2.149 0.000 Li
2.149 0.000 0.000 Li
0.000 0.000 1.860 Cr
2.149 2.149 1.860 Sn
0.000 0.000 0.000 N
```

7.
The following is a DFT calculation (PBE-GGA) of a relaxed Cs4H3N5 crystal.

Calculated values
Uncorrected energy: -4.458 eV/atom
DOS at the Fermi energy: 6.33 states/eV/f.u.

Geometry as POSCAR:
```
Cs4H3N5
1.0
6.931 -1.970 0.000
6.931 1.970 0.000
-5.720 0.000 12.346
Cs H N
4 3 5
Cartesian
-1.283 0.000 5.036 Cs
-0.823 0.000 10.131 Cs
8.964 0.000 2.215 Cs
9.424 0.000 7.311 Cs
0.000 0.000 0.000 H
6.159 0.000 0.634 H
1.982 0.000 11.713 H
1.691 0.000 4.833 N
2.880 0.000 4.793 N
6.931 0.000 0.000 N
5.261 0.000 7.554 N
6.451 0.000 7.514 N
```

8.
The following is a DFT calculation (PBE-GGA) of a relaxed Pr12Ho2Sc5 crystal.

Calculated values
Uncorrected energy: -5.026 eV/atom
E_form: 0.14 eV per atom
DOS at the Fermi energy: 27.74 states/eV/f.u.

Geometry as POSCAR:
```
Pr12Ho2Sc5
1.0
6.971 -5.453 0.000
6.971 5.453 0.000
-1.303 0.000 8.302
Pr Ho Sc
12 2 5
Cartesian
0.840 0.000 1.861 Pr
3.536 2.182 5.779 Pr
5.291 2.888 0.899 Pr
7.348 2.888 7.402 Pr
4.655 0.000 3.104 Pr
9.103 2.182 2.523 Pr
3.536 -2.182 5.779 Pr
7.984 0.000 5.198 Pr
5.291 -2.888 0.899 Pr
7.348 -2.888 7.402 Pr
9.103 -2.182 2.523 Pr
11.799 0.000 6.441 Pr
6.319 3.038 4.151 Ho
6.319 -3.038 4.151 Ho
1.169 0.000 5.263 Sc
2.421 0.000 8.178 Sc
6.971 0.000 0.000 Sc
10.217 0.000 0.123 Sc
11.469 0.000 3.038 Sc
```

9.
The following is a DFT calculation (PBE-GGA) of a relaxed Zr4PPb crystal.

Calculated values
Uncorrected energy: -6.958 eV/atom
E_form: 0.26 eV per atom
DOS at the Fermi energy: 6.52 states/eV/f.u.

Geometry as POSCAR:
```
Zr4PPb
1.0
0.000 4.078 4.078
4.078 0.000 4.078
4.078 4.078 0.000
Zr P Pb
4 1 1
Cartesian
1.023 1.023 1.023 Zr
3.056 3.056 1.023 Zr
3.056 1.023 3.056 Zr
1.023 3.056 3.056 Zr
6.118 6.118 6.118 P
4.078 4.078 4.078 Pb
```

10.
The following is a DFT calculation (PBE-GGA) of a relaxed Er4Tl5Zn2 crystal.

Calculated values
Uncorrected energy: -3.227 eV/atom
E_form: -0.26 eV per atom
DOS at the Fermi energy: 7.38 states/eV/f.u.

Geometry as POSCAR:
```
Er4Tl5Zn2
1.0
8.091 0.000 0.000
0.000 3.607 0.000
-0.260 0.000 9.544
Er Tl Zn
4 5 2
Cartesian
1.589 0.000 3.395 Er
1.639 0.000 8.656 Er
6.192 0.000 0.887 Er
6.242 0.000 6.148 Er
0.914 1.804 6.051 Tl
3.547 1.804 1.506 Tl
3.916 1.804 4.772 Tl
4.284 1.804 8.037 Tl
6.917 1.804 3.492 Tl
0.578 1.804 1.159 Zn
7.254 1.804 8.385 Zn
```

11.
The following is a DFT calculation (PBE-GGA) of a relaxed TeRhCN2 crystal.

Calculated values
Uncorrected energy: -4.952 eV/atom
Distance to the lowest polymorph of the same formula: 0.407 eV/atom
DOS at the Fermi energy: 4.05 states/eV/f.u.
Uncorrected formation energy: 2321 meV per atom

Geometry as POSCAR:
```
TeRhCN2
1.0
3.697 0.000 0.000
0.000 3.697 0.000
0.000 0.000 4.459
Te Rh C N
1 1 1 2
Cartesian
0.000 0.000 0.000 Te
1.848 1.848 0.000 Rh
0.000 0.000 2.230 C
0.000 1.848 2.230 N
1.848 0.000 2.230 N
```

12.
The following is a DFT calculation (PBE-GGA) of a relaxed K2ZrCr crystal.

Calculated values
Uncorrected energy: -4.414 eV/atom
E_form: 0.68 eV per atom
Distance to the lowest polymorph of the same formula: 0.000 eV/atom
DOS at the Fermi energy: 2.50 states/eV/f.u.

Geometry as POSCAR:
```
K2ZrCr
1.0
3.439 0.000 0.000
0.000 3.439 0.000
0.000 0.000 11.505
K Zr Cr
2 1 1
Cartesian
0.000 0.000 0.000 K
1.719 1.719 4.188 K
0.000 0.000 7.430 Zr
1.719 1.719 8.875 Cr
```